{
  "formula": "Hf3Mn6P5",
  "functional": "GGA-PBE",
  "state": "relaxed",
  "lattice_angstrom": [[-0.069, -3.310, -1.332], [3.862, 3.083, -7.864], [10.339, -1.951, 4.312]],
  "species": ["Hf", "Hf", "Hf", "Hf", "Hf", "Hf", "Mn", "Mn", "Mn", "Mn", "Mn", "Mn", "Mn", "Mn", "Mn", "Mn", "Mn", "Mn", "P", "P", "P", "P", "P", "P", "P", "P", "P", "P"],
  "frac_coords": [[0.000, 0.250, 0.656], [0.500, 0.750, 0.156], [0.500, 0.750, 0.844], [0.000, 0.272, 0.000], [0.500, 0.728, 0.500], [0.000, 0.250, 0.344], [0.000, 0.008, 0.831], [0.500, 0.992, 0.669], [0.500, 0.411, 0.809], [0.500, 0.516, 0.000], [0.000, 0.484, 0.500], [0.000, 0.589, 0.691], [0.000, 0.589, 0.309], [0.500, 0.023, 0.000], [0.000, 0.008, 0.169], [0.500, 0.411, 0.191], [0.000, 0.977, 0.500], [0.500, 0.992, 0.331], [0.000, 0.540, 0.883], [0.000, 0.833, 0.671], [0.000, 0.865, 0.000], [0.500, 0.460, 0.617], [0.500, 0.135, 0.500], [0.000, 0.540, 0.117], [0.500, 0.460, 0.383], [0.000, 0.833, 0.329], [0.500, 0.167, 0.829], [0.500, 0.167, 0.171]],
  "sg": "Pmmn",
  "formation_energy_mev_per_atom": -797,
  "mass_density_g_cm3": 8.99
}

***

{
  "formula": "CeMg2Pd8",
  "functional": "GGA-PBE",
  "state": "relaxed",
  "lattice_angstrom": [[-1.683, 0.597, 3.758], [2.075, -5.750, 1.842], [6.056, 4.397, -0.290]],
  "species": ["Ce", "Mg", "Mg", "Pd", "Pd", "Pd", "Pd", "Pd", "Pd", "Pd", "Pd"],
  "frac_coords": [[0.500, 0.000, 0.000], [0.778, 0.347, 0.556], [0.222, 0.653, 0.444], [0.405, 0.538, 0.810], [0.681, 0.918, 0.362], [0.856, 0.804, 0.713], [0.957, 0.276, 0.915], [0.144, 0.196, 0.287], [0.319, 0.082, 0.638], [0.595, 0.462, 0.190], [0.043, 0.724, 0.085]],
  "sg": "C2/m",
  "formation_energy_mev_per_atom": -606,
  "mass_density_g_cm3": 9.44
}

***

{
  "formula": "Lu2ZnIn",
  "functional": "GGA-PBE",
  "state": "relaxed",
  "lattice_angstrom": [[-0.326, -3.119, -1.333], [1.776, -2.602, 1.299], [-7.567, -3.987, 6.826]],
  "species": ["Zn", "Lu", "Lu", "In"],
  "frac_coords": [[0.500, 0.500, 0.500], [0.098, 0.098, 0.707], [0.902, 0.902, 0.293], [0.000, 0.000, 0.000]],
  "sg": "R-3m",
  "formation_energy_mev_per_atom": 30,
  "mass_density_g_cm3": 8.13
}

***

{
  "formula": "HfCuGeH",
  "functional": "GGA-PBE",
  "state": "relaxed",
  "lattice_angstrom": [[3.813, 0.000, 0.000], [0.000, 3.813, 0.000], [0.000, 0.000, 6.872]],
  "species": ["Hf", "Hf", "Cu", "Cu", "Ge", "Ge", "H", "H"],
  "frac_coords": [[0.000, 0.500, 0.857], [0.500, 0.000, 0.143], [0.000, 0.000, 0.500], [0.500, 0.500, 0.500], [0.500, 0.000, 0.724], [0.000, 0.500, 0.276], [0.500, 0.500, 0.000], [0.000, 0.000, 0.000]],
  "dft_energy_ha_per_atom": -0.2164,
  "sg": "P4/nmm",
  "mass_density_g_cm3": 10.49
}

***

{
  "formula": "NaBi2As",
  "functional": "GGA-PBE",
  "state": "relaxed",
  "lattice_angstrom": [[-3.076, 3.426, 0.880], [0.636, -0.638, 4.708], [3.561, 3.209, -0.046]],
  "species": ["Na", "As", "Bi", "Bi"],
  "frac_coords": [[0.500, 0.500, 0.500], [0.500, 0.000, 0.000], [0.000, 0.000, 0.500], [0.000, 0.500, 0.000]],
  "sg": "P4/mmm",
  "formation_energy_mev_per_atom": -35,
  "mass_density_g_cm3": 7.95
}

***

{
  "formula": "MnTeCl6",
  "functional": "GGA-PBE",
  "state": "relaxed",
  "lattice_angstrom": [[6.587, 0.008, -0.035], [0.055, 6.008, 3.470], [-0.006, 0.014, 6.938]],
  "species": ["Mn", "Te", "Cl", "Cl", "Cl", "Cl", "Cl", "Cl"],
  "frac_coords": [[0.500, 0.021, 0.021], [0.000, 0.021, 0.021], [0.752, 0.736, 0.306], [0.248, 0.306, 0.736], [0.253, 0.020, 0.306], [0.253, 0.736, 0.021], [0.747, 0.021, 0.736], [0.747, 0.306, 0.020]],
  "sg": "C2/m",
  "formation_energy_uncorrected_kj_per_mol_fu": -565.2,
  "mass_density_g_cm3": 2.39
}

***

{
  "formula": "Pu5Ge2Ir2",
  "functional": "GGA-PBE",
  "state": "relaxed",
  "lattice_angstrom": [[9.194, 0.000, 0.000], [0.000, 4.916, 0.000], [-4.597, -2.458, 7.663]],
  "species": ["Pu", "Pu", "Pu", "Pu", "Pu", "Pu", "Pu", "Pu", "Pu", "Pu", "Ge", "Ge", "Ge", "Ge", "Ir", "Ir", "Ir", "Ir"],
  "frac_coords": [[0.177, 0.598, 0.796], [0.823, 0.803, 0.204], [0.118, 0.098, 0.796], [0.882, 0.303, 0.204], [0.317, 0.017, 0.314], [0.683, 0.703, 0.686], [0.497, 0.517, 0.314], [0.503, 0.203, 0.686], [0.051, 0.974, 0.500], [0.949, 0.474, 0.500], [0.000, 0.876, 0.000], [0.500, 0.376, 0.000], [0.277, 0.575, 0.500], [0.723, 0.075, 0.500], [0.133, 0.472, 0.155], [0.867, 0.317, 0.845], [0.522, 0.972, 0.155], [0.478, 0.817, 0.845]],
  "sg": "Ima2",
  "formation_energy_mev_per_atom": -61,
  "mass_density_g_cm3": 16.78
}

***

{
  "formula": "Sb2MoRhW",
  "functional": "GGA-PBE",
  "state": "relaxed",
  "lattice_angstrom": [[5.105, 0.000, 0.000], [0.000, 4.732, 0.000], [0.000, 0.000, 5.105]],
  "species": ["Sb", "Sb", "Mo", "Rh", "W"],
  "frac_coords": [[0.000, 0.000, 0.500], [0.500, 0.000, 0.000], [0.000, 0.000, 0.000], [0.000, 0.500, 0.000], [0.500, 0.500, 0.500]],
  "sg": "P4/mmm",
  "formation_energy_uncorrected_kj_per_mol_fu": 779.8,
  "mass_density_g_cm3": 8.43
}